Run one
The following is a GGA-PBE calculation of a relaxed EuTlSb crystal, from Alexandria via LeMat-Bulk.

a b c (Å): 5.4670 5.4670 5.4670
angles (deg): 60.00 60.00 60.00
Fractional positions:
Eu  0.0000  0.0000  0.0000
Tl  0.5000  0.5000  0.5000
Sb  0.7500  0.7500  0.7500

Run two
The following is a GGA-PBE calculation of a relaxed EuTlSb crystal, from Alexandria via LeMat-Bulk.

a b c (Å): 5.7289 5.7289 5.7289
angles (deg): 133.92 133.92 67.21
Fractional positions:
Eu  0.0000  0.0000  0.0000
Tl  0.6744  0.6744  0.0000
Sb  0.3500  0.3500  0.0000

The structure with the greatest stability is run two.

Run one
The following is a GGA-PBE calculation of a relaxed EuTl2Sb crystal, from Alexandria via LeMat-Bulk.

a b c (Å): 11.7937 11.7937 11.7937
angles (deg): 17.87 17.87 17.87
Fractional positions:
Eu  0.0000  0.0000  0.0000
Tl  0.0943  0.0943  0.0943
Tl  0.9057  0.9057  0.9057
Sb  0.5000  0.5000  0.5000

Run two
The following is a GGA-PBE calculation of a relaxed EuTl2Sb crystal, from Alexandria via LeMat-Bulk.

a b c (Å): 4.7681 4.7681 5.2242
angles (deg): 90.00 90.00 90.00
Fractional positions:
Eu  0.0000  0.0000  0.0000
Tl  0.0000  0.5000  0.5000
Tl  0.5000  0.0000  0.5000
Sb  0.5000  0.5000  0.0000

The structure with the greatest stability is run two.

Run one
The following is a GGA-PBE calculation of a relaxed Eu2TlSb crystal, from Alexandria via LeMat-Bulk.

a b c (Å): 5.5922 5.5922 5.5922
angles (deg): 60.00 60.00 60.00
Fractional positions:
Eu  0.2500  0.2500  0.2500
Eu  0.7500  0.7500  0.7500
Tl  0.0000  0.0000  0.0000
Sb  0.5000  0.5000  0.5000

Run two
The following is a GGA-PBE calculation of a relaxed Eu2TlSb crystal, from Alexandria via LeMat-Bulk.

a b c (Å): 5.2819 5.2819 4.4086
angles (deg): 90.00 90.00 90.00
Fractional positions:
Eu  0.0000  0.5000  0.0000
Eu  0.5000  0.0000  0.0000
Tl  0.0000  0.0000  0.5000
Sb  0.5000  0.5000  0.5000

Run three
The following is a GGA-PBE calculation of a relaxed Eu2TlSb crystal, from Alexandria via LeMat-Bulk.

a b c (Å): 8.2531 8.2531 8.2531
angles (deg): 32.67 32.67 32.67
Fractional positions:
Eu  0.2398  0.2398  0.2398
Eu  0.7602  0.7602  0.7602
Tl  0.0000  0.0000  0.0000
Sb  0.5000  0.5000  0.5000

The structure with the greatest stability is run two.

Run one
The following is a GGA-PBE calculation of a relaxed EuZrSb2 crystal, from Alexandria via LeMat-Bulk.

a b c (Å): 3.6405 3.6405 7.9564
angles (deg): 90.00 90.00 90.00
Fractional positions:
Eu  0.0000  0.0000  0.0000
Zr  0.0000  0.0000  0.5000
Sb  0.5000  0.5000  0.2825
Sb  0.5000  0.5000  0.7175

Run two
The following is a GGA-PBE calculation of a relaxed EuZrSb2 crystal, from Alexandria via LeMat-Bulk.

a b c (Å): 7.7696 7.7696 7.7696
angles (deg): 31.86 31.86 31.86
Fractional positions:
Eu  0.0000  0.0000  0.0000
Zr  0.5000  0.5000  0.5000
Sb  0.2412  0.2412  0.2412
Sb  0.7588  0.7588  0.7588

The structure with the greatest stability is run two.

Run one
The following is a GGA-PBE calculation of a relaxed EuSc3 crystal, from Alexandria via LeMat-Bulk.

a b c (Å): 3.3714 5.4201 5.9775
angles (deg): 90.00 90.00 90.00
Fractional positions:
Eu  0.0000  0.0000  0.0000
Sc  0.0000  0.5000  0.6613
Sc  0.5000  0.0000  0.4971
Sc  0.5000  0.5000  0.1893

Run two
The following is a GGA-PBE calculation of a relaxed EuSc3 crystal, from Alexandria via LeMat-Bulk.

a b c (Å): 5.8094 5.8094 5.8094
angles (deg): 131.28 131.28 71.36
Fractional positions:
Eu  0.0000  0.0000  0.0000
Sc  0.2500  0.7500  0.5000
Sc  0.5000  0.5000  0.0000
Sc  0.7500  0.2500  0.5000

Run three
The following is a GGA-PBE calculation of a relaxed EuSc3 crystal, from Alexandria via LeMat-Bulk.

a b c (Å): 4.7680 4.7680 4.7680
angles (deg): 90.00 90.00 90.00
Fractional positions:
Eu  0.0000  0.0000  0.0000
Sc  0.0000  0.5000  0.5000
Sc  0.5000  0.0000  0.5000
Sc  0.5000  0.5000  0.0000

The structure with the greatest stability is run one.

Run one
The following is a GGA-PBE calculation of a relaxed EuSc2 crystal, from Alexandria via LeMat-Bulk.

a b c (Å): 7.5124 7.5124 7.5124
angles (deg): 153.14 153.14 38.35
Fractional positions:
Eu  0.0000  0.0000  0.0000
Sc  0.3198  0.3198  0.0000
Sc  0.6802  0.6802  0.0000

Run two
The following is a GGA-PBE calculation of a relaxed EuSc2 crystal, from Alexandria via LeMat-Bulk.

a b c (Å): 6.4501 6.4501 6.4501
angles (deg): 60.00 60.00 60.00
Fractional positions:
Eu  0.1250  0.1250  0.1250
Eu  0.8750  0.8750  0.8750
Sc  0.0000  0.5000  0.5000
Sc  0.5000  0.0000  0.5000
Sc  0.5000  0.5000  0.0000
Sc  0.5000  0.5000  0.5000

The structure with the greatest stability is run one.

Run one
The following is a GGA-PBE calculation of a relaxed SmEuSc2 crystal, from Alexandria via LeMat-Bulk.

a b c (Å): 3.5540 3.5540 9.5259
angles (deg): 90.00 90.00 90.00
Fractional positions:
Sm  0.0000  0.0000  0.0000
Eu  0.0000  0.0000  0.5000
Sc  0.5000  0.5000  0.2366
Sc  0.5000  0.5000  0.7634

Run two
The following is a GGA-PBE calculation of a relaxed SmEuSc2 crystal, from Alexandria via LeMat-Bulk.

a b c (Å): 5.5396 5.5396 3.8697
angles (deg): 90.00 90.00 90.00
Fractional positions:
Sm  0.0000  0.0000  0.0000
Eu  0.5000  0.5000  0.0000
Sc  0.0000  0.5000  0.5000
Sc  0.5000  0.0000  0.5000

The structure with the greatest stability is run one.

Run one
The following is a GGA-PBE calculation of a relaxed SmEuSc2 crystal, from Alexandria via LeMat-Bulk.

a b c (Å): 11.4247 11.4247 11.4247
angles (deg): 17.53 17.53 17.53
Fractional positions:
Sm  0.0000  0.0000  0.0000
Eu  0.5000  0.5000  0.5000
Sc  0.2528  0.2528  0.2528
Sc  0.7472  0.7472  0.7472

Run two
The following is a GGA-PBE calculation of a relaxed SmEuSc2 crystal, from Alexandria via LeMat-Bulk.

a b c (Å): 5.5149 5.5149 5.5149
angles (deg): 60.00 60.00 60.00
Fractional positions:
Sm  0.0000  0.0000  0.0000
Eu  0.5000  0.5000  0.5000
Sc  0.2500  0.2500  0.2500
Sc  0.7500  0.7500  0.7500

The structure with the greatest stability is run one.